No. 1
Material: SmHfAl
Method: DFT, GGA-PBE
State: optimized geometry

Unit cell a=4.9567 b=4.9567 c=3.4213 alpha=90.00 beta=90.00 gamma=120.00
Last column: nearest neighbours and their distance in Å.
Space group P3m1 (No. 156)
Unique sites:
Sm 0.0000 0.0000 0.0000 x1  6 Al 3.19-3.49, 6 Hf 3.27-3.40, 2 Sm 3.42
Hf 0.3333 0.6667 0.5347 x1  3 Al 2.89
Al 0.6667 0.3333 0.4148 x1  3 Hf 2.89, 3 Sm 3.19

* energy of formation from the pure elements: 0.53 kcal/mol of atoms
* energy relative to the lowest polymorph listed for this composition: 0.47 eV/f.u.

***

No. 2
Material: AcSm2Mg2Sn2
Method: DFT, GGA-PBE
State: optimized geometry

Unit cell a=5.0578 b=5.0578 c=27.9673 alpha=90.00 beta=90.00 gamma=120.00
Last column: nearest neighbours and their distance in Å.
Space group R-3m (No. 166, hexagonal axes)
Unique sites:
Ac 0.0000 0.0000 0.0000 x3  6 Sn 3.59, 2 Sm 3.72, 6 Mg 3.76
Sm 0.0000 0.0000 0.1332 x6  3 Mg 3.22, 4 Sn 3.35-3.52, 3 Sm 3.47
Mg 0.0000 0.0000 0.4180 x6  3 Sn 2.93, 3 Sm 3.22
Sn 0.0000 0.0000 0.2590 x6  3 Mg 2.93

* energy of formation from the pure elements: -8.39 kcal/mol of atoms

***

No. 3
Material: ErBIr2
Method: DFT, GGA-PBE
State: optimized geometry

Unit cell a=3.4457 b=3.4457 c=18.8513 alpha=90.00 beta=90.00 gamma=120.00
Last column: nearest neighbours and their distance in Å.
Space group R-3m (No. 166, hexagonal axes)
Unique sites:
Er 0.0000 0.0000 0.0000 x3  6 Ir 2.94
B 0.0000 0.0000 0.5000 x3  6 Ir 2.22
Ir 0.0000 0.0000 0.2184 x6  3 B 2.22

* energy of formation from the pure elements: -6.01 kcal/mol of atoms

***

No. 4
Material: Pr3TcCl2O6
Method: DFT, GGA-PBE
State: optimized geometry

Unit cell a=11.7963 b=6.7752 c=5.6759 alpha=90.00 beta=98.95 gamma=90.00
Last column: nearest neighbours and their distance in Å.
Space group C2/m (No. 12)
Unique sites:
Pr 0.0000 0.0000 0.0000 x2  4 O 2.51, 2 Cl 2.76
Pr 0.2500 0.2500 0.5000 x4  4 O 2.31-2.39
Tc 0.0000 0.5000 0.5000 x2  6 O 1.95-2.10
Cl 0.2161 0.0000 0.8725 x4  3 Pr 2.76-2.79, 1 O 2.79
O 0.0562 0.2677 0.3021 x8  1 Tc 2.10
O 0.1569 0.5000 0.6690 x4  1 Tc 1.95

* formation energy without anion corrections: -2.166 eV per atom

***

No. 5
Material: Pr4Dy4Er5
Method: DFT, GGA-PBE
State: optimized geometry

Unit cell a=12.9375 b=12.9375 c=5.0485 alpha=90.00 beta=90.00 gamma=90.00
Last column: nearest neighbours and their distance in Å.
Space group I4/m (No. 87)
Unique sites:
Pr 0.0791 0.6185 0.0000 x8  4 Dy 3.54-3.59, 3 Er 3.59-3.63, 5 Pr 3.63-3.69
Dy 0.1527 0.2284 0.0000 x8  4 Pr 3.54-3.59, 6 Er 3.55-3.65, 2 Dy 3.61
Er 0.0000 0.0000 0.0000 x2  8 Er 3.54, 4 Dy 3.55
Er 0.0390 0.8117 0.5000 x8  4 Er 3.52-3.54, 5 Dy 3.55-3.65, 3 Pr 3.59-3.63

* energy of formation from the pure elements: 0.54 kcal/mol of atoms

***

No. 6
Material: AcSm2Y
Method: DFT, GGA-PBE
State: optimized geometry

Unit cell a=5.2145 b=5.2145 c=5.2762 alpha=90.00 beta=90.00 gamma=90.00
Last column: nearest neighbours and their distance in Å.
Space group P4/mmm (No. 123)
Unique sites:
Ac 0.0000 0.0000 0.0000 x1  4 Y 3.69, 8 Sm 3.71
Sm 0.0000 0.5000 0.5000 x2  4 Sm 3.69, 4 Ac 3.71, 4 Y 3.71
Y 0.5000 0.5000 0.0000 x1  4 Ac 3.69, 8 Sm 3.71

* energy of formation from the pure elements: 0.89 kcal/mol of atoms
* energy relative to the lowest polymorph listed for this composition: 0.02 eV/f.u.

***

no.,V (Å³/f.u.)
1,73
2,207
3,65
4,224
5,423
6,143